Here is a geometry-optimized Pr2CdSb4 structure from Alexandria. Energies are from GGA-PBE.

Summary:
The value obtained for the final energy is -31.9 eV per cell. The uncorrected formation energy comes out at -710 meV per atom. As for the space group: P-4m2 (115). The total moment is 0.00 μB/f.u.

a = 4.401 Å, b = 4.401 Å, c = 10.854 Å
α = 90.00°, β = 90.00°, γ = 90.00°
Atoms (fractional coordinates):
Cd 0.500 0.500 0.500
Sb 0.500 0.500 0.000
Pr 0.000 0.500 0.236
Pr 0.500 0.000 0.764
Sb 0.000 0.000 0.000
Sb 0.000 0.500 0.672
Sb 0.500 0.000 0.328